SiCl2O after structural relaxation. Source: the Alexandria database, functional GGA-PBE.

POSCAR file:
```
SiCl2O
1.0
9.313 -0.018 0.105
2.483 11.805 0.098
2.053 1.100 6.471
Cl O Si
12 6 6
Cartesian
7.290 7.770 1.763
6.560 5.117 4.911
9.513 8.924 4.926
4.337 3.964 1.749
4.409 1.450 4.831
9.441 11.437 1.844
4.734 12.036 1.769
9.116 0.852 4.906
4.479 8.861 4.693
9.371 4.026 1.982
2.287 7.655 1.527
11.563 5.232 5.147
8.208 11.091 6.551
5.642 1.796 0.123
5.552 11.044 6.466
8.298 1.843 0.208
6.923 8.767 6.450
6.927 4.120 0.224
8.409 9.462 6.537
5.441 3.425 0.137
6.862 12.032 6.543
6.988 0.855 0.132
5.413 9.410 6.406
8.438 3.477 0.268
```

Properties
V (Å³/atom): 29.52
Uncorrected formation energy (eV/atom): -1.81
E above lowest polymorph (meV/atom): 12.9
Total energy (eV for the cell shown): -127.774